# Li3VCr3O8 (PBE+U, optimized geometry)
data_Li3VCr3O8
_cell_length_a 5.8751
_cell_length_b 5.9331
_cell_length_c 5.9342
_cell_angle_alpha 60.46
_cell_angle_beta 60.67
_cell_angle_gamma 89.93
_space_group_name_H-M_alt 'P -1'
_space_group_IT_number 2
loop_
_space_group_symop_operation_xyz
'x,y,z'
'-x,-y,-z'
loop_
_atom_site_label
_atom_site_type_symbol
_atom_site_fract_x
_atom_site_fract_y
_atom_site_fract_z
Li1 Li 0.0000 0.0000 0.0000
Li2 Li 0.0000 0.0000 0.5000
Li3 Li 0.5000 0.0000 0.0000
V1 V 0.5000 0.5000 0.5000
Cr1 Cr 0.0000 0.5000 0.0000
Cr2 Cr 0.0000 0.5000 0.5000
Cr3 Cr 0.5000 0.5000 0.0000
O1 O 0.2329 0.7139 0.0349
O2 O 0.2400 0.7174 0.5228
O3 O 0.2624 0.2749 0.9753
O4 O 0.2693 0.2865 0.4802
# Energy above the lowest structure with this stoichiometry   13 meV per atom
# Spin magnetization   10.000 μB/f.u.
# Electronic total energy   -7.041 eV per atom